1.
La6HoEr12: optimized geometry, PBE-GGA.

Summary:
Raw total energy   -4.455 eV/atom
Formation energy from the elements   0.224 eV per atom
Spin magnetization   0.00 Bohr magnetons per cell

Cell lengths 8.7635, 8.7635, 8.7635 Å; angles 98.74, 98.74, 98.74 degrees
Last column: nearest neighbours and their distance in Å.
Fractional positions:
La1 0.9042 0.3458 0.9042  1 La 3.05
La2 0.9042 0.9042 0.3458  1 La 3.05
La3 0.3458 0.9042 0.9042  1 La 3.05
La4 0.0958 0.0958 0.6542  1 La 3.05
La5 0.0958 0.6542 0.0958  1 La 3.05
La6 0.6542 0.0958 0.0958  1 La 3.05
Ho1 0.0000 0.0000 0.0000  6 La 3.45
Er1 0.7539 0.2461 0.5000  6 Er 3.37-3.54, 4 La 3.51-3.61
Er2 0.3546 0.0799 0.3546  6 Er 3.37-3.65, 2 La 3.72
Er3 0.3546 0.3546 0.0799  6 Er 3.37-3.65, 2 La 3.72
Er4 0.9201 0.6454 0.6454  6 Er 3.37-3.65, 2 La 3.72
Er5 0.6454 0.6454 0.9201  6 Er 3.37-3.65, 2 La 3.72
Er6 0.6454 0.9201 0.6454  6 Er 3.37-3.65, 2 La 3.72
Er7 0.5000 0.7539 0.2461  6 Er 3.37-3.54, 4 La 3.51-3.61
Er8 0.2461 0.5000 0.7539  6 Er 3.37-3.54, 4 La 3.51-3.61
Er9 0.2461 0.7539 0.5000  6 Er 3.37-3.54, 4 La 3.51-3.61
Er10 0.5000 0.2461 0.7539  6 Er 3.37-3.54, 4 La 3.51-3.61
Er11 0.7539 0.5000 0.2461  6 Er 3.37-3.54, 4 La 3.51-3.61
Er12 0.0799 0.3546 0.3546  6 Er 3.37-3.65, 2 La 3.72


2.
YGe2Pd8: optimized geometry, PBE-GGA.

Summary:
Raw total energy   -5.737 eV/atom
Formation energy from the elements   -0.533 eV per atom
Spin magnetization   0.00 Bohr magnetons per cell

Cell lengths 4.5607, 6.7883, 6.7883 Å; angles 112.10, 99.25, 99.25 degrees
Last column: nearest neighbours and their distance in Å.
Fractional positions:
Y1 0.5000 0.0000 0.0000  12 Pd 2.78-3.04
Ge1 0.0000 0.3200 0.6800  8 Pd 2.42-2.59
Ge2 0.0000 0.6800 0.3200  8 Pd 2.42-2.59
Pd1 0.9068 0.9317 0.6776  2 Ge 2.54-2.59, 1 Pd 2.84
Pd2 0.9068 0.6776 0.9317  2 Ge 2.54-2.59, 1 Pd 2.84
Pd3 0.3158 0.6095 0.6095  2 Ge 2.49, 1 Pd 2.68
Pd4 0.5000 0.7530 0.2470  2 Ge 2.42
Pd5 0.5000 0.2470 0.7530  2 Ge 2.42
Pd6 0.6842 0.3905 0.3905  2 Ge 2.49, 1 Pd 2.68
Pd7 0.0932 0.3224 0.0683  2 Ge 2.54-2.59, 1 Pd 2.84
Pd8 0.0932 0.0683 0.3224  2 Ge 2.54-2.59, 1 Pd 2.84


3.
SnTe3C: optimized geometry, PBE-GGA.

Summary:
Raw total energy   -2.657 eV/atom
Uncorrected formation energy   1.873 eV/atom
Offset from the most stable computed form   1067.2 meV/atom
Spin magnetization   0.95 Bohr magnetons per cell

Cell lengths 5.7214, 5.7214, 5.7214 Å; angles 90.00, 90.00, 90.00 degrees
Last column: nearest neighbours and their distance in Å.
Fractional positions:
C1 0.5000 0.5000 0.5000  12 Te 4.05
Te1 0.0000 0.5000 0.0000  2 Sn 2.86
Te2 0.0000 0.0000 0.5000  2 Sn 2.86
Te3 0.5000 0.0000 0.0000  2 Sn 2.86
Sn1 0.0000 0.0000 0.0000  6 Te 2.86


4.
PrTl3Pd7: optimized geometry, PBE-GGA.

Summary:
Raw total energy   -4.601 eV/atom
Formation energy from the elements   -0.217 eV per atom
Spin magnetization   0.00 Bohr magnetons per cell

Cell lengths 5.7510, 6.5348, 6.5348 Å; angles 98.26, 103.98, 103.98 degrees
Last column: nearest neighbours and their distance in Å.
Fractional positions:
Pr1 0.5000 0.5000 0.5000  8 Pd 2.88-3.03
Tl1 0.0000 0.7715 0.2285  7 Pd 2.68-2.79
Tl2 0.5000 0.0000 0.0000  6 Pd 2.74-2.93
Tl3 0.0000 0.2285 0.7715  7 Pd 2.68-2.79
Pd1 0.0397 0.1939 0.1939  1 Pd 2.71, 3 Tl 2.76-2.93, 1 Pr 2.96
Pd2 0.3209 0.0558 0.5891  3 Tl 2.72-2.79, 2 Pd 2.79-2.97, 1 Pr 3.03
Pd3 0.6791 0.4109 0.9442  3 Tl 2.72-2.79, 2 Pd 2.79-2.97, 1 Pr 3.03
Pd4 0.3209 0.5891 0.0558  3 Tl 2.72-2.79, 2 Pd 2.79-2.97, 1 Pr 3.03
Pd5 0.0000 0.5000 0.5000  2 Tl 2.68, 2 Pd 2.71, 2 Pr 2.88
Pd6 0.6791 0.9442 0.4109  3 Tl 2.72-2.79, 2 Pd 2.79-2.97, 1 Pr 3.03
Pd7 0.9603 0.8061 0.8061  1 Pd 2.71, 3 Tl 2.76-2.93, 1 Pr 2.96


5.
Rb2HO: optimized geometry, PBE-GGA.

Summary:
Raw total energy   -2.898 eV/atom
Offset from the most stable computed form   18.2 meV/atom
Spin magnetization   1.00 Bohr magnetons per cell

Cell lengths 4.9903, 4.9903, 4.9903 Å; angles 60.00, 60.00, 60.00 degrees
Last column: nearest neighbours and their distance in Å.
Fractional positions:
H1 0.0000 0.0000 0.0000  8 Rb 3.06
O1 0.5000 0.5000 0.5000  8 Rb 3.06
Rb1 0.2500 0.2500 0.2500  4 O 3.06, 4 H 3.06
Rb2 0.7500 0.7500 0.7500  4 O 3.06, 4 H 3.06


6.
PmPr2Al: optimized geometry, PBE-GGA.

Summary:
Raw total energy   -4.531 eV/atom
Formation energy from the elements   -0.017 eV per atom
Offset from the most stable computed form   157.7 meV/atom
Spin magnetization   0.00 Bohr magnetons per cell

Cell lengths 3.7302, 3.7302, 10.9908 Å; angles 80.23, 80.23, 60.00 degrees
Last column: nearest neighbours and their distance in Å.
Fractional positions:
Pm1 0.5000 0.5000 0.5000  6 Pm 3.73, 6 Pr 3.74-3.75
Pr1 0.0719 0.0719 0.7842  3 Al 3.18
Pr2 0.2616 0.2616 0.2151  3 Al 3.16
Al1 0.6664 0.6664 0.0007  6 Pr 3.16-3.18


7.
Th2Ga3Rh: optimized geometry, PBE-GGA.

Summary:
Raw total energy   -5.899 eV/atom
Formation energy from the elements   -0.687 eV per atom
Spin magnetization   0.00 Bohr magnetons per cell

Cell lengths 4.5232, 5.6942, 5.9160 Å; angles 78.24, 67.52, 66.60 degrees
Last column: nearest neighbours and their distance in Å.
Fractional positions:
Th1 0.5408 0.2185 0.6999  9 Ga 3.10-3.38, 3 Rh 3.19-3.42
Th2 0.4539 0.7947 0.2974  3 Rh 2.95-3.21, 6 Ga 3.14-3.29
Ga1 0.8402 0.6245 0.6951  1 Rh 2.63, 2 Ga 2.66
Ga2 0.8323 0.2300 0.1055  2 Rh 2.61, 1 Ga 2.70
Ga3 0.1632 0.7734 0.9003  3 Ga 2.66-2.70
Rh1 0.1696 0.3589 0.3018  3 Ga 2.61-2.63


8.
SrLa2Pt: optimized geometry, PBE-GGA.

Summary:
Raw total energy   -4.561 eV/atom
Formation energy from the elements   -0.166 eV per atom
Offset from the most stable computed form   407.3 meV/atom
Spin magnetization   0.00 Bohr magnetons per cell

Cell lengths 6.5148, 6.5148, 6.5148 Å; angles 138.95, 138.95, 59.46 degrees
Last column: nearest neighbours and their distance in Å.
Fractional positions:
La1 0.0000 0.0000 0.0000  4 Pt 3.23
La2 0.2500 0.7500 0.5000  4 Sr 3.23
Pt1 0.5000 0.5000 0.0000  4 La 3.23
Sr1 0.7500 0.2500 0.5000  4 La 3.23


9.
Ba2Sr5Ca: optimized geometry, PBE-GGA.

Summary:
Raw total energy   -1.769 eV/atom
Formation energy from the elements   0.013 eV per atom
Spin magnetization   0.00 Bohr magnetons per cell

Cell lengths 6.0242, 8.5962, 17.1810 Å; angles 90.00, 90.00, 90.00 degrees
Last column: nearest neighbours and their distance in Å.
Fractional positions:
Ba1 0.5000 0.2424 0.6219  2 Ca 4.22, 10 Sr 4.23-4.36
Ba2 0.5000 0.7576 0.3781  2 Ca 4.22, 10 Sr 4.23-4.36
Ba3 0.5000 0.2576 0.1219  2 Ca 4.22, 10 Sr 4.23-4.36
Ba4 0.5000 0.7424 0.8781  2 Ca 4.22, 10 Sr 4.23-4.36
Sr1 0.0000 0.0000 0.0000  6 Sr 4.26-4.33, 4 Ba 4.28, 2 Ca 4.30
Sr2 0.0000 0.5000 0.5000  6 Sr 4.26-4.33, 4 Ba 4.28, 2 Ca 4.30
Sr3 0.0000 0.4939 0.7523  7 Sr 4.25-4.33, 1 Ca 4.26, 4 Ba 4.28-4.33
Sr4 0.0000 0.5061 0.2477  7 Sr 4.25-4.33, 1 Ca 4.26, 4 Ba 4.28-4.33
Sr5 0.0000 0.0061 0.2523  7 Sr 4.25-4.33, 1 Ca 4.26, 4 Ba 4.28-4.33
Sr6 0.0000 0.9939 0.7477  7 Sr 4.25-4.33, 1 Ca 4.26, 4 Ba 4.28-4.33
Sr7 0.5000 0.2474 0.8758  4 Ba 4.23-4.36, 6 Sr 4.25-4.32, 2 Ca 4.28
Sr8 0.5000 0.7526 0.1242  4 Ba 4.23-4.36, 6 Sr 4.25-4.32, 2 Ca 4.28
Sr9 0.5000 0.2526 0.3758  4 Ba 4.23-4.36, 6 Sr 4.25-4.32, 2 Ca 4.28
Sr10 0.5000 0.7474 0.6242  4 Ba 4.23-4.36, 6 Sr 4.25-4.32, 2 Ca 4.28
Ca1 0.0000 0.0000 0.5000  4 Ba 4.22, 8 Sr 4.26-4.30
Ca2 0.0000 0.5000 0.0000  4 Ba 4.22, 8 Sr 4.26-4.30


10.
LaHf2ZnI: optimized geometry, PBE-GGA.

Summary:
Raw total energy   -4.583 eV/atom
Uncorrected formation energy   0.949 eV/atom
Spin magnetization   0.00 Bohr magnetons per cell

Cell lengths 5.2470, 5.8680, 5.2470 Å; angles 90.00, 90.00, 90.00 degrees
Last column: nearest neighbours and their distance in Å.
Fractional positions:
I1 0.0000 0.0000 0.0000  4 Hf 2.62, 2 La 2.93
Zn1 0.5000 0.5000 0.5000  4 La 3.71, 8 Hf 3.94
Hf1 0.0000 0.0000 0.5000  2 I 2.62
Hf2 0.5000 0.0000 0.0000  2 I 2.62
La1 0.0000 0.5000 0.0000  2 I 2.93


11.
NaVAg2Cl6: optimized geometry, PBE-GGA.

Summary:
Raw total energy   -3.723 eV/atom
Uncorrected formation energy   -1.001 eV/atom
Spin magnetization   2.00 Bohr magnetons per cell

Cell lengths 6.7823, 6.7815, 7.1063 Å; angles 61.47, 61.45, 59.96 degrees
Last column: nearest neighbours and their distance in Å.
Fractional positions:
Na1 0.8173 0.8173 0.5480  6 Cl 2.79-2.86
V1 0.3222 0.3222 0.0333  6 Cl 2.40
Ag1 0.5431 0.5426 0.3708  3 Cl 2.61
Ag2 0.0316 0.0324 0.9045  3 Cl 2.60
Cl1 0.5519 0.2213 0.2604  1 V 2.40, 1 Ag 2.61
Cl2 0.2219 0.9659 0.2604  1 V 2.40, 1 Ag 2.61
Cl3 0.9659 0.5514 0.2609  1 V 2.40, 1 Ag 2.61
Cl4 0.4162 0.6795 0.7927  1 V 2.40, 1 Ag 2.60
Cl5 0.6795 0.1121 0.7920  1 V 2.40, 1 Ag 2.60
Cl6 0.1121 0.4168 0.7922  1 V 2.40, 1 Ag 2.60


12.
CrCu2Cl: optimized geometry, PBE-GGA.

Summary:
Raw total energy   -4.539 eV/atom
Uncorrected formation energy   0.376 eV/atom
Offset from the most stable computed form   230.7 meV/atom
Spin magnetization   3.64 Bohr magnetons per cell

Cell lengths 3.0081, 3.0081, 6.7149 Å; angles 90.00, 90.00, 89.75 degrees
Last column: nearest neighbours and their distance in Å.
Fractional positions:
Cr1 0.5000 0.5000 0.7500  8 Cu 2.65-2.66
Cu1 0.0000 0.0000 0.9866  4 Cr 2.65-2.66, 4 Cl 2.76-2.77
Cu2 0.0000 0.0000 0.5134  4 Cr 2.65-2.66, 4 Cl 2.76-2.77
Cl1 0.5000 0.5000 0.2500  8 Cu 2.76-2.77, 4 Cl 3.01


Repeat the ninth record exactly.
Ba2Sr5Ca: optimized geometry, PBE-GGA.

Summary:
Raw total energy   -1.769 eV/atom
Formation energy from the elements   0.013 eV per atom
Spin magnetization   0.00 Bohr magnetons per cell

Cell lengths 6.0242, 8.5962, 17.1810 Å; angles 90.00, 90.00, 90.00 degrees
Last column: nearest neighbours and their distance in Å.
Fractional positions:
Ba1 0.5000 0.2424 0.6219  2 Ca 4.22, 10 Sr 4.23-4.36
Ba2 0.5000 0.7576 0.3781  2 Ca 4.22, 10 Sr 4.23-4.36
Ba3 0.5000 0.2576 0.1219  2 Ca 4.22, 10 Sr 4.23-4.36
Ba4 0.5000 0.7424 0.8781  2 Ca 4.22, 10 Sr 4.23-4.36
Sr1 0.0000 0.0000 0.0000  6 Sr 4.26-4.33, 4 Ba 4.28, 2 Ca 4.30
Sr2 0.0000 0.5000 0.5000  6 Sr 4.26-4.33, 4 Ba 4.28, 2 Ca 4.30
Sr3 0.0000 0.4939 0.7523  7 Sr 4.25-4.33, 1 Ca 4.26, 4 Ba 4.28-4.33
Sr4 0.0000 0.5061 0.2477  7 Sr 4.25-4.33, 1 Ca 4.26, 4 Ba 4.28-4.33
Sr5 0.0000 0.0061 0.2523  7 Sr 4.25-4.33, 1 Ca 4.26, 4 Ba 4.28-4.33
Sr6 0.0000 0.9939 0.7477  7 Sr 4.25-4.33, 1 Ca 4.26, 4 Ba 4.28-4.33
Sr7 0.5000 0.2474 0.8758  4 Ba 4.23-4.36, 6 Sr 4.25-4.32, 2 Ca 4.28
Sr8 0.5000 0.7526 0.1242  4 Ba 4.23-4.36, 6 Sr 4.25-4.32, 2 Ca 4.28
Sr9 0.5000 0.2526 0.3758  4 Ba 4.23-4.36, 6 Sr 4.25-4.32, 2 Ca 4.28
Sr10 0.5000 0.7474 0.6242  4 Ba 4.23-4.36, 6 Sr 4.25-4.32, 2 Ca 4.28
Ca1 0.0000 0.0000 0.5000  4 Ba 4.22, 8 Sr 4.26-4.30
Ca2 0.0000 0.5000 0.0000  4 Ba 4.22, 8 Sr 4.26-4.30